<1>
# Ti2FeF, relaxed, DFT GGA+U
# **Mass density**: 5.15 Mg/m³
# **Fermi-level density of states**: 1.04 states/eV per atom
data_Ti2FeF
_cell_length_a 5.815
_cell_length_b 5.815
_cell_length_c 6.502
_cell_angle_alpha 90.00
_cell_angle_beta 90.00
_cell_angle_gamma 90.00
_space_group_name_H-M_alt 'I -4 2 d'
_space_group_IT_number 122
_space_group_name_Hall 'I -4 2bw'
loop_
_atom_site_label
_atom_site_type_symbol
_atom_site_fract_x
_atom_site_fract_y
_atom_site_fract_z
Ti1 Ti 0.216 0.750 0.125
Fe1 Fe 0.000 0.000 0.500
F1 F 0.000 0.000 0.000


<2>
# Ti2FeF, relaxed, DFT GGA+U
# **Mass density**: 5.46 Mg/m³
# **Fermi-level density of states**: 1.55 states/eV per atom
data_Ti2FeF
_cell_length_a 5.921
_cell_length_b 5.921
_cell_length_c 5.921
_cell_angle_alpha 90.00
_cell_angle_beta 90.00
_cell_angle_gamma 90.00
_space_group_name_H-M_alt 'F m -3 m'
_space_group_IT_number 225
_space_group_name_Hall '-F 4 2 3'
loop_
_atom_site_label
_atom_site_type_symbol
_atom_site_fract_x
_atom_site_fract_y
_atom_site_fract_z
Ti1 Ti 0.250 0.250 0.250
Fe1 Fe 0.000 0.000 0.000
F1 F 0.000 0.000 0.500


The winner here is <1>, beating the second structure by 29.3 kJ/mol of atoms.


<1>
# Tl3FeF, relaxed, DFT GGA+U
# **Mass density**: 8.37 Mg/m³
# **Fermi-level density of states**: 1.11 states/eV per atom
data_Tl3FeF
_cell_length_a 5.149
_cell_length_b 5.149
_cell_length_c 5.149
_cell_angle_alpha 90.00
_cell_angle_beta 90.00
_cell_angle_gamma 90.00
_space_group_name_H-M_alt 'P m -3 m'
_space_group_IT_number 221
_space_group_name_Hall '-P 4 2 3'
loop_
_atom_site_label
_atom_site_type_symbol
_atom_site_fract_x
_atom_site_fract_y
_atom_site_fract_z
Tl1 Tl 0.000 0.000 0.500
Fe1 Fe 0.500 0.500 0.500
F1 F 0.000 0.000 0.000


<2>
# Tl3FeF, relaxed, DFT GGA+U
# **Mass density**: 7.55 Mg/m³
# **Fermi-level density of states**: 0.47 states/eV per atom
data_Tl3FeF
_cell_length_a 5.329
_cell_length_b 5.329
_cell_length_c 5.329
_cell_angle_alpha 90.00
_cell_angle_beta 90.00
_cell_angle_gamma 90.00
_space_group_name_H-M_alt 'P m -3 m'
_space_group_IT_number 221
_space_group_name_Hall '-P 4 2 3'
loop_
_atom_site_label
_atom_site_type_symbol
_atom_site_fract_x
_atom_site_fract_y
_atom_site_fract_z
Tl1 Tl 0.000 0.000 0.500
Fe1 Fe 0.000 0.000 0.000
F1 F 0.500 0.500 0.500


The winner here is <2>, beating the second structure by 3.9 kJ/mol of atoms.


<1>
# Tl2FeF, relaxed, DFT GGA+U
# **Mass density**: 9.68 Mg/m³
# **Fermi-level density of states**: 0.51 states/eV per atom
data_Tl2FeF
_cell_length_a 6.923
_cell_length_b 6.923
_cell_length_c 6.923
_cell_angle_alpha 90.00
_cell_angle_beta 90.00
_cell_angle_gamma 90.00
_space_group_name_H-M_alt 'F m -3 m'
_space_group_IT_number 225
_space_group_name_Hall '-F 4 2 3'
loop_
_atom_site_label
_atom_site_type_symbol
_atom_site_fract_x
_atom_site_fract_y
_atom_site_fract_z
Tl1 Tl 0.250 0.250 0.250
Fe1 Fe 0.000 0.000 0.000
F1 F 0.000 0.000 0.500


<2>
# Tl2FeF, relaxed, DFT GGA+U
# **Mass density**: 8.12 Mg/m³
# **Fermi-level density of states**: 0.34 states/eV per atom
data_Tl2FeF
_cell_length_a 4.751
_cell_length_b 4.751
_cell_length_c 17.526
_cell_angle_alpha 90.00
_cell_angle_beta 90.00
_cell_angle_gamma 90.00
_space_group_name_H-M_alt 'I -4 2 d'
_space_group_IT_number 122
_space_group_name_Hall 'I -4 2bw'
loop_
_atom_site_label
_atom_site_type_symbol
_atom_site_fract_x
_atom_site_fract_y
_atom_site_fract_z
Tl1 Tl 0.224 0.250 0.125
Fe1 Fe 0.000 0.000 0.500
F1 F 0.000 0.000 0.000


The winner here is <2>, beating the second structure by 7.7 kJ/mol of atoms.


<1>
# TlFe2F8, relaxed, DFT GGA+U
# **Mass density**: 4.60 Mg/m³
# **Fermi-level density of states**: 0.13 states/eV per atom
data_TlFe2F8
_cell_length_a 7.0115
_cell_length_b 7.0115
_cell_length_c 3.9695
_cell_angle_alpha 90.00
_cell_angle_beta 90.00
_cell_angle_gamma 120.00
_space_group_name_H-M_alt 'P -3'
_space_group_IT_number 147
_space_group_name_Hall '-P 3'
loop_
_atom_site_label
_atom_site_type_symbol
_atom_site_fract_x
_atom_site_fract_y
_atom_site_fract_z
Tl1 Tl 0.0000 0.0000 0.0000
Fe1 Fe 0.3333 0.6667 0.2557
F1 F 0.1780 0.8189 0.2589
F2 F 0.3333 0.6667 0.7557


<2>
# TlFe2F8, relaxed, DFT GGA+U
# **Mass density**: 5.06 Mg/m³
# **Fermi-level density of states**: 0.20 states/eV per atom
data_TlFe2F8
_cell_length_a 8.415
_cell_length_b 6.456
_cell_length_c 5.753
_cell_angle_alpha 90.00
_cell_angle_beta 100.64
_cell_angle_gamma 90.00
_space_group_name_H-M_alt 'C 1 2/m 1'
_space_group_IT_number 12
_space_group_name_Hall '-C 2y'
loop_
_atom_site_label
_atom_site_type_symbol
_atom_site_fract_x
_atom_site_fract_y
_atom_site_fract_z
Tl1 Tl 0.000 0.000 0.000
Fe1 Fe 0.181 0.500 0.450
F1 F 0.061 0.500 0.711
F2 F 0.140 0.191 0.357
F3 F 0.224 0.000 0.826


The winner here is <2>, beating the second structure by 1.1 kJ/mol of atoms.


<1>
# TlFe2F, relaxed, DFT GGA+U
# **Mass density**: 8.08 Mg/m³
# **Fermi-level density of states**: 0.35 states/eV per atom
data_TlFe2F
_cell_length_a 6.506
_cell_length_b 6.506
_cell_length_c 6.506
_cell_angle_alpha 90.00
_cell_angle_beta 90.00
_cell_angle_gamma 90.00
_space_group_name_H-M_alt 'F m -3 m'
_space_group_IT_number 225
_space_group_name_Hall '-F 4 2 3'
loop_
_atom_site_label
_atom_site_type_symbol
_atom_site_fract_x
_atom_site_fract_y
_atom_site_fract_z
Tl1 Tl 0.000 0.000 0.000
Fe1 Fe 0.250 0.250 0.250
F1 F 0.000 0.000 0.500


<2>
# TlFe2F, relaxed, DFT GGA+U
# **Mass density**: 7.62 Mg/m³
# **Fermi-level density of states**: 0.59 states/eV per atom
data_TlFe2F
_cell_length_a 6.705
_cell_length_b 6.705
_cell_length_c 6.493
_cell_angle_alpha 90.00
_cell_angle_beta 90.00
_cell_angle_gamma 90.00
_space_group_name_H-M_alt 'I -4 2 d'
_space_group_IT_number 122
_space_group_name_Hall 'I -4 2bw'
loop_
_atom_site_label
_atom_site_type_symbol
_atom_site_fract_x
_atom_site_fract_y
_atom_site_fract_z
Tl1 Tl 0.000 0.000 0.000
Fe1 Fe 0.177 0.250 0.625
F1 F 0.000 0.000 0.500


The winner here is <2>, beating the second structure by 31.6 kJ/mol of atoms.


<1>
# TlFe3F, relaxed, DFT GGA+U
# **Mass density**: 7.73 Mg/m³
# **Fermi-level density of states**: 0.84 states/eV per atom
data_TlFe3F
_cell_length_a 4.379
_cell_length_b 4.379
_cell_length_c 4.379
_cell_angle_alpha 90.00
_cell_angle_beta 90.00
_cell_angle_gamma 90.00
_space_group_name_H-M_alt 'P m -3 m'
_space_group_IT_number 221
_space_group_name_Hall '-P 4 2 3'
loop_
_atom_site_label
_atom_site_type_symbol
_atom_site_fract_x
_atom_site_fract_y
_atom_site_fract_z
Tl1 Tl 0.000 0.000 0.000
Fe1 Fe 0.000 0.500 0.500
F1 F 0.500 0.500 0.500


<2>
# TlFe3F, relaxed, DFT GGA+U
# **Mass density**: 4.60 Mg/m³
# **Fermi-level density of states**: 0.03 states/eV per atom
data_TlFe3F
_cell_length_a 5.207
_cell_length_b 5.207
_cell_length_c 5.207
_cell_angle_alpha 90.00
_cell_angle_beta 90.00
_cell_angle_gamma 90.00
_space_group_name_H-M_alt 'P m -3 m'
_space_group_IT_number 221
_space_group_name_Hall '-P 4 2 3'
loop_
_atom_site_label
_atom_site_type_symbol
_atom_site_fract_x
_atom_site_fract_y
_atom_site_fract_z
Tl1 Tl 0.000 0.000 0.000
Fe1 Fe 0.000 0.000 0.500
F1 F 0.500 0.500 0.500


The winner here is <1>, beating the second structure by 47.8 kJ/mol of atoms.


<1>
# Tl2FeF5, relaxed, DFT GGA+U
# **Mass density**: 5.77 Mg/m³
# **Fermi-level density of states**: 0.00 states/eV per atom
data_Tl2FeF5
_cell_length_a 6.341
_cell_length_b 6.341
_cell_length_c 4.003
_cell_angle_alpha 90.00
_cell_angle_beta 90.00
_cell_angle_gamma 90.00
_space_group_name_H-M_alt 'P 4/m m m'
_space_group_IT_number 123
_space_group_name_Hall '-P 4 2'
loop_
_atom_site_label
_atom_site_type_symbol
_atom_site_fract_x
_atom_site_fract_y
_atom_site_fract_z
Tl1 Tl 0.000 0.500 0.000
Fe1 Fe 0.000 0.000 0.500
F1 F 0.000 0.000 0.000
F2 F 0.217 0.217 0.500


<2>
# Tl2FeF5, relaxed, DFT GGA+U
# **Mass density**: 5.34 Mg/m³
# **Fermi-level density of states**: 0.00 states/eV per atom
data_Tl2FeF5
_cell_length_a 6.429
_cell_length_b 6.429
_cell_length_c 8.414
_cell_angle_alpha 90.00
_cell_angle_beta 90.00
_cell_angle_gamma 90.00
_space_group_name_H-M_alt 'I 4 m m'
_space_group_IT_number 107
_space_group_name_Hall 'I 4 -2'
loop_
_atom_site_label
_atom_site_type_symbol
_atom_site_fract_x
_atom_site_fract_y
_atom_site_fract_z
Tl1 Tl 0.000 0.500 0.000
Fe1 Fe 0.000 0.000 0.231
F1 F 0.000 0.000 0.451
F2 F 0.205 0.205 0.175


The winner here is <1>, beating the second structure by 4.1 kJ/mol of atoms.


<1>
# V2FeF, relaxed, DFT GGA+U
# **Mass density**: 4.80 Mg/m³
# **Fermi-level density of states**: 0.80 states/eV per atom
data_V2FeF
_cell_length_a 6.255
_cell_length_b 6.255
_cell_length_c 6.255
_cell_angle_alpha 90.00
_cell_angle_beta 90.00
_cell_angle_gamma 90.00
_space_group_name_H-M_alt 'F m -3 m'
_space_group_IT_number 225
_space_group_name_Hall '-F 4 2 3'
loop_
_atom_site_label
_atom_site_type_symbol
_atom_site_fract_x
_atom_site_fract_y
_atom_site_fract_z
V1 V 0.250 0.250 0.250
Fe1 Fe 0.000 0.000 0.000
F1 F 0.000 0.000 0.500


<2>
# V2FeF, relaxed, DFT GGA+U
# **Mass density**: 4.16 Mg/m³
# **Fermi-level density of states**: 0.87 states/eV per atom
data_V2FeF
_cell_length_a 6.535
_cell_length_b 6.535
_cell_length_c 6.601
_cell_angle_alpha 90.00
_cell_angle_beta 90.00
_cell_angle_gamma 90.00
_space_group_name_H-M_alt 'I -4 2 d'
_space_group_IT_number 122
_space_group_name_Hall 'I -4 2bw'
loop_
_atom_site_label
_atom_site_type_symbol
_atom_site_fract_x
_atom_site_fract_y
_atom_site_fract_z
V1 V 0.170 0.250 0.125
Fe1 Fe 0.000 0.000 0.500
F1 F 0.000 0.000 0.000


The winner here is <2>, beating the second structure by 58.8 kJ/mol of atoms.